## K2NiO2 (PBE+U)

Data for crystalline K2NiO2 at its relaxed geometry.

Output
- Calculated total energy: -4.0832 eV per atom
- Crystal system: tetragonal

Lattice parameters (Å, degrees): 7.105 7.105 7.105 147.63 147.63 46.44
Sites, in units of the cell vectors:
K  0.159  0.159  0.000
K  0.841  0.841  0.000
Ni  0.500  0.500  0.000
O  0.368  0.368  0.000
O  0.632  0.632  0.000